(1)
Below is crystalline Sm3Ga4Hg2 at its relaxed geometry, with properties calculated at the PBE level.

Cell and atoms, written as POSCAR:
```
Sm3Ga4Hg2
1.0
-3.562 1.801 -2.190
-1.630 -4.127 3.989
1.206 7.628 4.312
Sm Ga Hg
3 4 2
Direct
0.674 0.347 0.665
0.000 0.000 0.000
0.326 0.653 0.335
0.701 0.401 0.024
0.299 0.599 0.976
0.929 0.859 0.584
0.071 0.141 0.416
0.597 0.193 0.266
0.403 0.807 0.734
```

Properties
Fermi-level density of states ... 0.338 states/eV/atom
Energy of formation from the pure elements ... -0.557 eV/atom

=====

(2)
Below is crystalline MoPbCl2 at its relaxed geometry, with properties calculated at the PBE level.

Cell and atoms, written as POSCAR:
```
MoPbCl2
1.0
8.348 0.145 -0.008
6.512 5.225 0.008
-7.107 -3.578 2.528
Pb Mo Cl
1 1 2
Direct
0.347 0.847 0.500
0.519 0.519 0.000
0.994 0.994 0.000
0.640 0.140 0.500
```

Properties
E_form (uncorrected) ... 0.06 eV/atom
Fermi-level density of states ... 0.538 states/eV/atom
Excess energy over the best structure of this formula in the dataset ... 0.276 eV/atom

=====

(3)
Below is crystalline CsKBa at its relaxed geometry, with properties calculated at the PBE level.

Cell and atoms, written as POSCAR:
```
CsKBa
1.0
4.723 0.000 0.000
-2.361 4.108 0.000
0.000 0.000 24.503
K Cs Ba
2 2 2
Direct
0.611 0.222 0.000
0.286 0.571 0.500
0.606 0.212 0.326
0.606 0.212 0.674
0.279 0.558 0.844
0.279 0.558 0.156
```

Properties
Fermi-level density of states ... 1.327 states/eV/atom
Excess energy over the best structure of this formula in the dataset ... 0.002 eV/atom
Energy of formation from the pure elements ... 0.099 eV/atom

=====

(4)
Below is crystalline KHg3Br at its relaxed geometry, with properties calculated at the PBE level.

Cell and atoms, written as POSCAR:
```
KHg3Br
1.0
-6.000 1.880 1.471
-2.305 -3.528 -4.892
-0.621 -5.071 3.949
K Hg Br
1 3 1
Direct
0.000 0.000 0.000
0.000 0.500 0.000
0.000 0.000 0.500
0.500 0.000 0.000
0.500 0.500 0.500
```

Properties
E_form (uncorrected) ... -0.17 eV/atom
Fermi-level density of states ... 0.000 states/eV/atom
Excess energy over the best structure of this formula in the dataset ... 0.004 eV/atom

=====

(5)
Below is crystalline La4CuW at its relaxed geometry, with properties calculated at the PBE level.

Cell and atoms, written as POSCAR:
```
La4CuW
1.0
-3.708 -4.471 2.205
-5.048 -1.706 -3.194
-0.180 -5.546 -2.795
La Cu W
4 1 1
Direct
0.872 0.376 0.376
0.376 0.376 0.872
0.376 0.872 0.376
0.376 0.376 0.376
0.000 0.000 0.000
0.750 0.750 0.750
```

Properties
Fermi-level density of states ... 1.420 states/eV/atom
Energy of formation from the pure elements ... 1.099 eV/atom

=====

(6)
Below is crystalline Li2CdSb at its relaxed geometry, with properties calculated at the PBE level.

Cell and atoms, written as POSCAR:
```
Li2CdSb
1.0
5.300 0.001 0.000
1.713 5.016 0.000
-3.507 -2.508 3.083
Cd Li Sb
1 2 1
Direct
0.750 0.250 0.500
0.000 0.000 0.000
0.250 0.750 0.500
0.500 0.500 0.000
```

Properties
E_form (uncorrected) ... -0.34 eV/atom
Fermi-level density of states ... 0.475 states/eV/atom
Excess energy over the best structure of this formula in the dataset ... 0.066 eV/atom

=====

(7)
Below is crystalline Na10B17C3 at its relaxed geometry, with properties calculated at the PBE level.

Cell and atoms, written as POSCAR:
```
Na10B17C3
1.0
7.906 -0.002 0.000
-6.214 4.789 0.000
0.000 0.000 8.658
Na B C
10 17 3
Direct
0.203 0.802 0.002
0.203 0.802 0.498
0.396 0.597 0.999
0.396 0.597 0.501
0.997 0.997 0.000
0.997 0.997 0.500
0.603 0.402 0.003
0.603 0.402 0.497
0.801 0.201 0.000
0.801 0.201 0.500
0.139 0.536 0.750
0.150 0.538 0.250
0.472 0.890 0.750
0.318 0.321 0.750
0.661 0.661 0.250
0.305 0.325 0.250
0.668 0.660 0.750
0.939 0.742 0.750
0.276 0.071 0.250
0.925 0.731 0.250
0.293 0.075 0.750
0.877 0.472 0.250
0.533 0.119 0.250
0.864 0.465 0.750
0.718 0.917 0.750
0.732 0.945 0.250
0.060 0.265 0.750
0.469 0.864 0.250
0.543 0.143 0.750
0.059 0.263 0.250
```

Properties
Fermi-level density of states ... 0.209 states/eV/atom
Excess energy over the best structure of this formula in the dataset ... 0.023 eV/atom
Energy of formation from the pure elements ... 0.227 eV/atom

=====

(8)
Below is crystalline CuRhS2Cl at its relaxed geometry, with properties calculated at the PBE level.

Cell and atoms, written as POSCAR:
```
CuRhS2Cl
1.0
4.599 0.000 0.000
0.000 4.599 0.000
0.000 0.000 4.902
S Rh Cu Cl
2 1 1 1
Direct
0.000 0.500 0.000
0.500 0.000 0.000
0.000 0.000 0.000
0.500 0.500 0.500
0.000 0.000 0.500
```

Properties
E_form (uncorrected) ... 0.48 eV/atom
Fermi-level density of states ... 1.194 states/eV/atom
Excess energy over the best structure of this formula in the dataset ... 0.000 eV/atom

=====

(9)
Below is crystalline TaSbTe2As at its relaxed geometry, with properties calculated at the PBE level.

Cell and atoms, written as POSCAR:
```
TaSbTe2As
1.0
-1.769 4.991 0.504
-2.318 -1.287 4.612
4.583 1.354 2.682
Sb As Te Ta
1 1 2 1
Direct
0.000 0.000 0.500
0.500 0.500 0.500
0.000 0.500 0.000
0.500 0.000 0.000
0.000 0.000 0.000
```

Properties
E_form (uncorrected) ... 0.62 eV/atom
Fermi-level density of states ... 0.890 states/eV/atom
Excess energy over the best structure of this formula in the dataset ... 0.000 eV/atom

=====

(10)
Below is crystalline Ti6Sn2O at its relaxed geometry, with properties calculated at the PBE level.

Cell and atoms, written as POSCAR:
```
Ti6Sn2O
1.0
0.000 4.181 4.181
4.181 0.000 4.181
4.181 4.181 0.000
Ti Sn O
6 2 1
Direct
0.757 0.243 0.243
0.243 0.243 0.757
0.757 0.757 0.243
0.243 0.757 0.243
0.757 0.243 0.757
0.243 0.757 0.757
0.250 0.250 0.250
0.750 0.750 0.750
0.500 0.500 0.500
```

Properties
E_form (uncorrected) ... -0.80 eV/atom
Fermi-level density of states ... 1.238 states/eV/atom
Excess energy over the best structure of this formula in the dataset ... 0.000 eV/atom

=====

(11)
Below is crystalline Na3Tl5Hg at its relaxed geometry, with properties calculated at the PBE level.

Cell and atoms, written as POSCAR:
```
Na3Tl5Hg
1.0
3.479 0.000 0.000
0.000 7.982 -4.608
0.000 0.000 9.217
Na Tl Hg
3 5 1
Direct
0.000 0.356 0.356
0.000 0.000 0.644
0.000 0.644 0.000
0.500 0.333 0.667
0.500 0.667 0.333
0.500 0.300 0.000
0.500 0.000 0.300
0.500 0.700 0.700
0.000 0.000 0.000
```

Properties
Fermi-level density of states ... 0.567 states/eV/atom
Excess energy over the best structure of this formula in the dataset ... 0.000 eV/atom
Energy of formation from the pure elements ... -0.089 eV/atom

=====

(12)
Below is crystalline MoIrRu at its relaxed geometry, with properties calculated at the PBE level.

Cell and atoms, written as POSCAR:
```
MoIrRu
1.0
-2.652 -0.168 -0.687
1.881 -1.391 -1.436
-0.742 -5.301 4.163
Ir Mo Ru
1 1 1
Direct
0.000 0.000 0.002
0.667 0.333 0.336
0.333 0.667 0.662
```

Properties
Fermi-level density of states ... 1.021 states/eV/atom
Excess energy over the best structure of this formula in the dataset ... 0.161 eV/atom
Energy of formation from the pure elements ... -0.015 eV/atom

=====

(13)
Below is crystalline AcDyTlCu at its relaxed geometry, with properties calculated at the PBE level.

Cell and atoms, written as POSCAR:
```
AcDyTlCu
1.0
-2.226 4.935 0.541
-2.733 1.270 4.530
2.102 3.560 3.538
Ac Tl Cu Dy
1 1 1 1
Direct
0.000 0.000 0.000
0.750 0.750 0.750
0.250 0.250 0.250
0.500 0.500 0.500
```

Properties
Fermi-level density of states ... 0.803 states/eV/atom
Energy of formation from the pure elements ... -0.160 eV/atom